Below is a relaxed LaPdSe2N crystal, with properties calculated at the PBE level.

```
data_LaPdSe2N
_chemical_formula_sum 'La1 Pd1 Se2 N1'
_symmetry_space_group_name_H-M 'P 4/m m m'
_symmetry_Int_Tables_number 123
_symmetry_space_group_name_Hall '-P 4 2'
_cell_length_a 5.9102
_cell_length_b 5.9102
_cell_length_c 3.9961
_cell_angle_alpha 90.00
_cell_angle_beta 90.00
_cell_angle_gamma 90.00
loop_
_atom_site_label
_atom_site_type_symbol
_atom_site_fract_x
_atom_site_fract_y
_atom_site_fract_z
La1 La 0.0000 0.0000 0.0000
Pd1 Pd 0.5000 0.5000 0.5000
Se1 Se 0.0000 0.5000 0.0000
N1 N 0.0000 0.0000 0.5000
```

energy relative to the elements, uncorrected = 0.552 eV/atom
polymorph energy (0 for the lowest one) = 0.952 eV per atom